Record 1
! Y2NbCo, optimized geometry, DFT GGA-PBE; values from VASP
&SYSTEM
  ibrav = 0, nat = 16, ntyp = 3
/
ATOMIC_SPECIES
Y 88.91 Y.upf
Nb 92.91 Nb.upf
Co 58.93 Co.upf
CELL_PARAMETERS angstrom
7.8054 0.0000 0.0000
0.0000 7.8054 0.0000
0.0000 0.0000 5.8656
ATOMIC_POSITIONS crystal
Y 0.1968 0.2500 0.1250
Y 0.2500 0.6968 0.3750
Y 0.2500 0.8032 0.8750
Y 0.3032 0.2500 0.6250
Y 0.6968 0.7500 0.6250
Y 0.7500 0.1968 0.8750
Y 0.7500 0.3032 0.3750
Y 0.8032 0.7500 0.1250
Nb 0.0000 0.0000 0.5000
Nb 0.0000 0.5000 0.7500
Nb 0.5000 0.0000 0.2500
Nb 0.5000 0.5000 0.0000
Co 0.0000 0.0000 0.0000
Co 0.0000 0.5000 0.2500
Co 0.5000 0.0000 0.7500
Co 0.5000 0.5000 0.5000
! DFT total energy = -112.2 eV/cell
! Size of the total moment = 0.00 μB/f.u.
! Formation energy from the elements = 0.5126 eV per atom
! Space group = I-42d, No. 122

Record 2
! NbAlSe2N, optimized geometry, DFT GGA-PBE; values from VASP
&SYSTEM
  ibrav = 0, nat = 5, ntyp = 4
/
ATOMIC_SPECIES
Nb 92.91 Nb.upf
Al 26.98 Al.upf
Se 78.96 Se.upf
N 14.01 N.upf
CELL_PARAMETERS angstrom
4.9714 0.0000 0.0000
0.0000 4.9714 0.0000
0.0000 0.0000 3.5013
ATOMIC_POSITIONS crystal
Nb 0.0000 0.0000 0.0000
Al 0.5000 0.5000 0.5000
Se 0.0000 0.5000 0.5000
Se 0.5000 0.0000 0.5000
N 0.5000 0.5000 0.0000
! Energy relative to the elements, uncorrected = 0.303 eV/atom
! DFT total energy = -27.6 eV/cell
! Size of the total moment = 0.48 μB/f.u.
! Space group = P4/mmm, No. 123

Record 3
! Rb2SeS5, optimized geometry, DFT GGA-PBE; values from VASP
&SYSTEM
  ibrav = 0, nat = 8, ntyp = 3
/
ATOMIC_SPECIES
Rb 85.47 Rb.upf
Se 78.96 Se.upf
S 32.06 S.upf
CELL_PARAMETERS angstrom
5.2940 0.0000 0.0000
0.2380 6.6558 0.0000
0.1232 3.3148 7.9230
ATOMIC_POSITIONS crystal
Rb 0.0000 0.0000 0.0000
Rb 0.0024 0.4026 0.4262
Se 0.5076 0.8505 0.6712
S 0.5021 0.1532 0.7067
S 0.5016 0.7720 0.2794
S 0.5140 0.0030 0.3772
S 0.8961 0.5027 0.9911
S 0.9234 0.6888 0.7428
! Energy relative to the elements, uncorrected = -0.453 eV/atom
! DFT total energy = -29.7 eV/cell
! Size of the total moment = 0.00 μB/f.u.
! Space group = P1, No. 1

Record 4
! InHgIN2, optimized geometry, DFT GGA-PBE; values from VASP
&SYSTEM
  ibrav = 0, nat = 5, ntyp = 4
/
ATOMIC_SPECIES
In 114.82 In.upf
Hg 200.59 Hg.upf
I 126.90 I.upf
N 14.01 N.upf
CELL_PARAMETERS angstrom
4.6090 0.0000 0.0000
0.0000 4.6090 0.0000
0.0000 0.0000 6.7508
ATOMIC_POSITIONS crystal
In 0.0000 0.0000 0.0000
Hg 0.5000 0.5000 0.5000
I 0.5000 0.5000 0.0000
N 0.0000 0.5000 0.5000
N 0.5000 0.0000 0.5000
! Energy relative to the elements, uncorrected = 1.594 eV/atom
! DFT total energy = -13.3 eV/cell
! Size of the total moment = 3.64 μB/f.u.
! Space group = P4/mmm, No. 123

Record 5
! Tl2HSe, optimized geometry, DFT GGA-PBE; values from VASP
&SYSTEM
  ibrav = 0, nat = 8, ntyp = 3
/
ATOMIC_SPECIES
Tl 204.38 Tl.upf
H 1.01 H.upf
Se 78.96 Se.upf
CELL_PARAMETERS angstrom
7.4014 0.0000 0.0000
0.0000 4.3986 0.0000
-2.9690 0.0000 6.8333
ATOMIC_POSITIONS crystal
Tl 0.0000 0.0000 0.0000
Tl 0.0007 0.5000 0.5677
Tl 0.4837 0.0000 0.4896
Tl 0.5713 0.5000 0.9716
H 0.6308 0.5000 0.2217
H 0.6465 0.5000 0.7764
Se 0.1874 0.5000 0.2919
Se 0.3107 0.0000 0.8284
! DFT total energy = -23.7 eV/cell
! Size of the total moment = 0.00 μB/f.u.
! Space group = Pm, No. 6

Record 6
! Sm2Al2SnRh5, optimized geometry, DFT GGA-PBE; values from VASP
&SYSTEM
  ibrav = 0, nat = 20, ntyp = 4
/
ATOMIC_SPECIES
Sm 150.36 Sm.upf
Al 26.98 Al.upf
Sn 118.71 Sn.upf
Rh 102.91 Rh.upf
CELL_PARAMETERS angstrom
9.9962 0.0000 0.0000
0.0000 9.9962 0.0000
0.0000 0.0000 3.5511
ATOMIC_POSITIONS crystal
Sm 0.1764 0.3236 0.0000
Sm 0.3236 0.8236 0.0000
Sm 0.6764 0.1764 0.0000
Sm 0.8236 0.6764 0.0000
Al 0.1205 0.6205 0.0000
Al 0.3795 0.1205 0.0000
Al 0.6205 0.8795 0.0000
Al 0.8795 0.3795 0.0000
Sn 0.0000 0.0000 0.0000
Sn 0.5000 0.5000 0.0000
Rh 0.0000 0.5000 0.5000
Rh 0.0678 0.7897 0.5000
Rh 0.2103 0.0678 0.5000
Rh 0.2897 0.5678 0.5000
Rh 0.4322 0.2897 0.5000
Rh 0.5000 0.0000 0.5000
Rh 0.5678 0.7103 0.5000
Rh 0.7103 0.4322 0.5000
Rh 0.7897 0.9322 0.5000
Rh 0.9322 0.2103 0.5000
! DFT total energy = -132.1 eV/cell
! Size of the total moment = 0.00 μB/f.u.
! Formation energy from the elements = -0.8373 eV per atom
! Space group = P4/mbm, No. 127

Record 7
! Ti6Ga3N, optimized geometry, DFT GGA-PBE; values from VASP
&SYSTEM
  ibrav = 0, nat = 10, ntyp = 3
/
ATOMIC_SPECIES
Ti 47.87 Ti.upf
Ga 69.72 Ga.upf
N 14.01 N.upf
CELL_PARAMETERS angstrom
4.8431 -2.7149 0.0000
4.8431 2.7149 0.0000
-4.0999 0.0000 5.9789
ATOMIC_POSITIONS crystal
Ti 0.1650 0.6812 0.7409
Ti 0.2507 0.2507 0.0870
Ti 0.3188 0.8350 0.2591
Ti 0.6812 0.1650 0.7409
Ti 0.7493 0.7493 0.9130
Ti 0.8350 0.3188 0.2591
Ga 0.1527 0.1527 0.6708
Ga 0.5000 0.5000 0.5000
Ga 0.8473 0.8473 0.3292
N 0.0000 0.0000 0.0000
! Energy relative to the elements, uncorrected = -0.498 eV/atom
! DFT total energy = -69.8 eV/cell
! Size of the total moment = 0.00 μB/f.u.
! Space group = C2/m, No. 12

Record 8
! BaHfS2F, optimized geometry, DFT GGA-PBE; values from VASP
&SYSTEM
  ibrav = 0, nat = 5, ntyp = 4
/
ATOMIC_SPECIES
Ba 137.33 Ba.upf
Hf 178.49 Hf.upf
S 32.06 S.upf
F 19.00 F.upf
CELL_PARAMETERS angstrom
5.3384 0.0000 0.0000
0.0000 5.3384 0.0000
0.0000 0.0000 4.4497
ATOMIC_POSITIONS crystal
Ba 0.0000 0.0000 0.0000
Hf 0.5000 0.5000 0.0000
S 0.0000 0.5000 0.5000
S 0.5000 0.0000 0.5000
F 0.0000 0.0000 0.5000
! Energy relative to the elements, uncorrected = -0.330 eV/atom
! DFT total energy = -23.7 eV/cell
! Size of the total moment = 0.85 μB/f.u.
! Space group = P4/mmm, No. 123

Record 9
! TcNi2SbH, optimized geometry, DFT GGA-PBE; values from VASP
&SYSTEM
  ibrav = 0, nat = 5, ntyp = 4
/
ATOMIC_SPECIES
Tc 98.00 Tc.upf
Ni 58.69 Ni.upf
Sb 121.76 Sb.upf
H 1.01 H.upf
CELL_PARAMETERS angstrom
3.8673 0.0000 0.0000
0.0000 3.8673 0.0000
0.0000 0.0000 3.9031
ATOMIC_POSITIONS crystal
Tc 0.0000 0.0000 0.0000
Ni 0.0000 0.5000 0.5000
Ni 0.5000 0.0000 0.5000
Sb 0.5000 0.5000 0.0000
H 0.0000 0.0000 0.5000
! DFT total energy = -29.5 eV/cell
! Size of the total moment = 0.00 μB/f.u.
! Space group = P4/mmm, No. 123

Record 10
! LiTaBe, optimized geometry, DFT GGA-PBE; values from VASP
&SYSTEM
  ibrav = 0, nat = 6, ntyp = 3
/
ATOMIC_SPECIES
Li 6.94 Li.upf
Ta 180.95 Ta.upf
Be 9.01 Be.upf
CELL_PARAMETERS angstrom
4.7799 0.0000 0.0000
0.0000 2.5262 0.0000
-1.3892 0.0000 7.4802
ATOMIC_POSITIONS crystal
Li 0.1550 0.0000 0.1901
Li 0.8450 0.5000 0.8099
Ta 0.2732 0.4943 0.5855
Ta 0.7268 0.9943 0.4145
Be 0.3836 0.9941 0.8901
Be 0.6164 0.4941 0.1099
! DFT total energy = -33.4 eV/cell
! Size of the total moment = 0.00 μB/f.u.
! Formation energy from the elements = 0.2687 eV per atom
! Space group = P2_1, No. 4

Record 11
! Ti2Zn5Pt2, optimized geometry, DFT GGA-PBE; values from VASP
&SYSTEM
  ibrav = 0, nat = 18, ntyp = 3
/
ATOMIC_SPECIES
Ti 47.87 Ti.upf
Zn 65.41 Zn.upf
Pt 195.08 Pt.upf
CELL_PARAMETERS angstrom
-7.4687 3.6615 2.5857
7.4687 -3.6615 2.5857
7.4687 3.6615 -2.5857
ATOMIC_POSITIONS crystal
Ti 0.1265 0.0851 0.2116
Ti 0.1265 0.4149 0.5414
Ti 0.8735 0.5851 0.4586
Ti 0.8735 0.9149 0.7884
Zn 0.0983 0.7123 0.8860
Zn 0.4979 0.1760 0.6555
Zn 0.4979 0.3425 0.8219
Zn 0.5131 0.1577 0.1896
Zn 0.5131 0.8235 0.8555
Zn 0.5205 0.6760 0.1781
Zn 0.5205 0.8425 0.3445
Zn 0.8264 0.2123 0.1140
Zn 0.9680 0.3235 0.8104
Zn 0.9680 0.6577 0.1445
Pt 0.3607 0.4149 0.4458
Pt 0.4269 0.4269 0.0000
Pt 0.4269 0.9269 0.5000
Pt 0.9691 0.9149 0.5542
! DFT total energy = -75.3 eV/cell
! Size of the total moment = 0.00 μB/f.u.
! Formation energy from the elements = -0.3772 eV per atom
! Space group = Ima2, No. 46

Record 12
! Al2CdTe, optimized geometry, DFT GGA-PBE; values from VASP
&SYSTEM
  ibrav = 0, nat = 16, ntyp = 3
/
ATOMIC_SPECIES
Al 26.98 Al.upf
Cd 112.41 Cd.upf
Te 127.60 Te.upf
CELL_PARAMETERS angstrom
7.1558 0.0000 0.0000
0.0000 7.1558 0.0000
0.0000 0.0000 7.1558
ATOMIC_POSITIONS crystal
Al 0.0000 0.0000 0.0000
Al 0.0000 0.5000 0.5000
Al 0.2500 0.2500 0.2500
Al 0.2500 0.7500 0.7500
Al 0.5000 0.0000 0.5000
Al 0.5000 0.5000 0.0000
Al 0.7500 0.2500 0.7500
Al 0.7500 0.7500 0.2500
Cd 0.0000 0.0000 0.5000
Cd 0.0000 0.5000 0.0000
Cd 0.5000 0.0000 0.0000
Cd 0.5000 0.5000 0.5000
Te 0.2500 0.2500 0.7500
Te 0.2500 0.7500 0.2500
Te 0.7500 0.2500 0.2500
Te 0.7500 0.7500 0.7500
! Energy relative to the elements, uncorrected = 0.308 eV/atom
! DFT total energy = -41.2 eV/cell
! Size of the total moment = 0.00 μB/f.u.
! Space group = F-43m, No. 216

Record 13
! Ti4ZnPt, optimized geometry, DFT GGA-PBE; values from VASP
&SYSTEM
  ibrav = 0, nat = 6, ntyp = 3
/
ATOMIC_SPECIES
Ti 47.87 Ti.upf
Zn 65.41 Zn.upf
Pt 195.08 Pt.upf
CELL_PARAMETERS angstrom
4.2997 0.0000 0.0000
0.0000 4.2997 0.0000
0.0000 0.0000 6.0878
ATOMIC_POSITIONS crystal
Ti 0.0000 0.5000 0.2500
Ti 0.0000 0.5000 0.7500
Ti 0.5000 0.0000 0.2500
Ti 0.5000 0.0000 0.7500
Zn 0.0000 0.0000 0.0000
Pt 0.5000 0.5000 0.5000
! DFT total energy = -39.1 eV/cell
! Size of the total moment = 0.00 μB/f.u.
! Formation energy from the elements = -0.0413 eV per atom
! Space group = P4/mmm, No. 123

Record 14
! Pm6NdSm2Er, optimized geometry, DFT GGA-PBE; values from VASP
&SYSTEM
  ibrav = 0, nat = 20, ntyp = 4
/
ATOMIC_SPECIES
Pm 145.00 Pm.upf
Nd 144.24 Nd.upf
Sm 150.36 Sm.upf
Er 167.26 Er.upf
CELL_PARAMETERS angstrom
4.6193 -7.6711 0.0000
4.6193 7.6711 0.0000
-1.3172 0.0000 9.6773
ATOMIC_POSITIONS crystal
Pm 0.0140 0.5685 0.1875
Pm 0.1213 0.7521 0.5552
Pm 0.2479 0.8787 0.9448
Pm 0.2929 0.5065 0.3812
Pm 0.4315 0.9860 0.3125
Pm 0.4935 0.7071 0.1188
Pm 0.5065 0.2929 0.8812
Pm 0.5685 0.0140 0.6875
Pm 0.7071 0.4935 0.6188
Pm 0.7521 0.1213 0.0552
Pm 0.8787 0.2479 0.4448
Pm 0.9860 0.4315 0.8125
Nd 0.0223 0.9777 0.2500
Nd 0.9777 0.0223 0.7500
Sm 0.1994 0.3005 0.0444
Sm 0.3005 0.1994 0.5444
Sm 0.6995 0.8006 0.4556
Sm 0.8006 0.6995 0.9556
Er 0.4094 0.5906 0.7500
Er 0.5906 0.4094 0.2500
! DFT total energy = -92.3 eV/cell
! Size of the total moment = 0.00 μB/f.u.
! Formation energy from the elements = 0.1136 eV per atom
! Space group = C2/c, No. 15

Record 15
! CePrAu2, optimized geometry, DFT GGA-PBE; values from VASP
&SYSTEM
  ibrav = 0, nat = 8, ntyp = 3
/
ATOMIC_SPECIES
Ce 140.12 Ce.upf
Pr 140.91 Pr.upf
Au 196.97 Au.upf
CELL_PARAMETERS angstrom
4.7871 0.0000 0.0000
0.0000 3.9090 0.0000
0.0000 0.0000 11.4131
ATOMIC_POSITIONS crystal
Ce 0.0000 0.0000 0.0000
Ce 0.0000 0.5000 0.5000
Pr 0.5000 0.0000 0.7243
Pr 0.5000 0.5000 0.2243
Au 0.0000 0.0000 0.2791
Au 0.0000 0.5000 0.7791
Au 0.5000 0.0000 0.4515
Au 0.5000 0.5000 0.9515
! DFT total energy = -40.2 eV/cell
! Size of the total moment = 0.94 μB/f.u.
! Formation energy from the elements = -0.7064 eV per atom
! Space group = Amm2, No. 38

Record 16
! CdCuPt3, optimized geometry, DFT GGA-PBE; values from VASP
&SYSTEM
  ibrav = 0, nat = 5, ntyp = 3
/
ATOMIC_SPECIES
Cd 112.41 Cd.upf
Cu 63.55 Cu.upf
Pt 195.08 Pt.upf
CELL_PARAMETERS angstrom
4.9446 0.0000 0.0000
0.0000 4.9446 0.0000
0.0000 0.0000 4.9446
ATOMIC_POSITIONS crystal
Cd 0.0000 0.0000 0.0000
Cu 0.5000 0.5000 0.5000
Pt 0.0000 0.0000 0.5000
Pt 0.0000 0.5000 0.0000
Pt 0.5000 0.0000 0.0000
! DFT total energy = -15.6 eV/cell
! Size of the total moment = 0.00 μB/f.u.
! Formation energy from the elements = 1.5094 eV per atom
! Space group = Pm-3m, No. 221

Record 17
! NbP2ClO, optimized geometry, DFT GGA-PBE; values from VASP
&SYSTEM
  ibrav = 0, nat = 5, ntyp = 4
/
ATOMIC_SPECIES
Nb 92.91 Nb.upf
P 30.97 P.upf
Cl 35.45 Cl.upf
O 16.00 O.upf
CELL_PARAMETERS angstrom
4.8460 0.0000 0.0000
0.0000 4.8460 0.0000
0.0000 0.0000 4.7023
ATOMIC_POSITIONS crystal
Nb 0.0000 0.0000 0.0000
P 0.0000 0.5000 0.0000
P 0.5000 0.0000 0.0000
Cl 0.0000 0.0000 0.5000
O 0.5000 0.5000 0.5000
! Energy relative to the elements, uncorrected = 0.656 eV/atom
! DFT total energy = -24.4 eV/cell
! Size of the total moment = 0.00 μB/f.u.
! Space group = P4/mmm, No. 123

Record 18
! Cs4Ce3PmSe8, optimized geometry, DFT GGA-PBE; values from VASP
&SYSTEM
  ibrav = 0, nat = 16, ntyp = 4
/
ATOMIC_SPECIES
Cs 132.91 Cs.upf
Ce 140.12 Ce.upf
Pm 145.00 Pm.upf
Se 78.96 Se.upf
CELL_PARAMETERS angstrom
4.4252 2.5549 8.3728
-4.4252 2.5549 8.3728
0.0000 -5.1098 8.3728
ATOMIC_POSITIONS crystal
Cs 0.0000 0.0000 0.0000
Cs 0.0000 0.5000 0.5000
Cs 0.5000 0.0000 0.5000
Cs 0.5000 0.5000 0.0000
Ce 0.0000 0.0000 0.5000
Ce 0.0000 0.5000 0.0000
Ce 0.5000 0.0000 0.0000
Pm 0.5000 0.5000 0.5000
Se 0.2297 0.2297 0.2297
Se 0.2316 0.7287 0.7287
Se 0.2713 0.2713 0.7684
Se 0.2713 0.7684 0.2713
Se 0.7287 0.2316 0.7287
Se 0.7287 0.7287 0.2316
Se 0.7684 0.2713 0.2713
Se 0.7703 0.7703 0.7703
! Energy relative to the elements, uncorrected = -1.682 eV/atom
! DFT total energy = -80.7 eV/cell
! Size of the total moment = 3.01 μB/f.u.
! Space group = R-3m, No. 166

Record 19
! MnBS3, optimized geometry, DFT GGA-PBE; values from VASP
&SYSTEM
  ibrav = 0, nat = 20, ntyp = 3
/
ATOMIC_SPECIES
Mn 54.94 Mn.upf
B 10.81 B.upf
S 32.06 S.upf
CELL_PARAMETERS angstrom
5.8454 0.0000 0.0000
0.0000 8.7356 0.0000
0.0000 0.0000 5.4654
ATOMIC_POSITIONS crystal
Mn 0.0000 0.0000 0.0000
Mn 0.0000 0.5000 0.0000
Mn 0.5000 0.0000 0.5000
Mn 0.5000 0.5000 0.5000
B 0.1407 0.2500 0.4554
B 0.3593 0.7500 0.9554
B 0.6407 0.2500 0.0446
B 0.8593 0.7500 0.5446
S 0.0237 0.7500 0.8549
S 0.1514 0.0650 0.6354
S 0.1514 0.4350 0.6354
S 0.3486 0.5650 0.1354
S 0.3486 0.9350 0.1354
S 0.4763 0.2500 0.3549
S 0.5237 0.7500 0.6451
S 0.6514 0.0650 0.8646
S 0.6514 0.4350 0.8646
S 0.8486 0.5650 0.3646
S 0.8486 0.9350 0.3646
S 0.9763 0.2500 0.1451
! Energy relative to the elements, uncorrected = -0.267 eV/atom
! DFT total energy = -118.3 eV/cell
! Size of the total moment = 0.00 μB/f.u.
! Space group = Pnma, No. 62

Record 20
! BaTm4ScSe8, optimized geometry, DFT GGA-PBE; values from VASP
&SYSTEM
  ibrav = 0, nat = 14, ntyp = 4
/
ATOMIC_SPECIES
Ba 137.33 Ba.upf
Tm 168.93 Tm.upf
Sc 44.96 Sc.upf
Se 78.96 Se.upf
CELL_PARAMETERS angstrom
4.2720 2.4664 6.7867
-4.2720 2.4664 6.7867
0.0000 -4.9328 6.7867
ATOMIC_POSITIONS crystal
Ba 0.0000 0.0000 0.0000
Tm 0.3796 0.3796 0.8902
Tm 0.3796 0.8902 0.3796
Tm 0.7591 0.7591 0.7591
Tm 0.8902 0.3796 0.3796
Sc 0.3819 0.3819 0.3819
Se 0.1474 0.1474 0.1474
Se 0.1556 0.6246 0.6246
Se 0.1581 0.1581 0.5744
Se 0.1581 0.5744 0.1581
Se 0.5744 0.1581 0.1581
Se 0.6246 0.1556 0.6246
Se 0.6246 0.6246 0.1556
Se 0.6251 0.6251 0.6251
! Energy relative to the elements, uncorrected = -1.711 eV/atom
! DFT total energy = -78.0 eV/cell
! Size of the total moment = 0.11 μB/f.u.
! Space group = R3m, No. 160